A relaxed ZnInB3 crystal. Source: Alexandria via LeMat-Bulk, functional PBE-GGA.

Cell lengths 4.5283, 4.5283, 4.5283 Å; angles 90.00, 90.00, 90.00 degrees
Fractional coordinates of all 5 atoms:
Zn1 0.0000 0.0000 0.0000
In1 0.5000 0.5000 0.5000
B1 0.0000 0.5000 0.5000
B2 0.5000 0.0000 0.5000
B3 0.5000 0.5000 0.0000

## Properties
energy above the most stable polymorph in this dataset	2.560	eV per formula unit
ΔE_f	1100	kJ/mol of formula units
space group	No. 221
uncorrected energy	-2.5287	eV per atom